Below is a relaxed structure of CsHoFeO3, with properties calculated at the PBE with a Hubbard U level.

Properties
raw total energy = -77.8 eV per cell
symmetry = P2_1/m

Cell: 3.589 8.185 8.589 Å, 110.01 90.00 90.00°
Each line ends with the local moment (μB).
Atoms (fractional coordinates):
Cs 0.750 0.781 0.769  0.00
Cs 0.250 0.219 0.231  0.00
Fe 0.750 0.911 0.385  3.69
Fe 0.250 0.089 0.615  3.69
O 0.250 0.827 0.446  0.11
O 0.250 0.156 0.855  0.06
O 0.750 0.480 0.130  0.01
O 0.250 0.520 0.870  0.01
O 0.750 0.173 0.554  0.11
O 0.750 0.844 0.145  0.06
Ho 0.250 0.658 0.139  0.00
Ho 0.750 0.342 0.861  0.00

---

Below is a relaxed structure of CsHo2Fe2O6, with properties calculated at the PBE with a Hubbard U level.

Properties
raw total energy = -75.9 eV per cell
symmetry = P-1

Cell: 6.216 6.730 6.700 Å, 122.63 89.53 63.66°
Each line ends with the local moment (μB).
Atoms (fractional coordinates):
O 0.008 0.585 0.856  0.12
O 0.898 0.124 0.398  0.10
O 0.414 0.664 0.924  0.14
O 0.586 0.336 0.076  0.14
O 0.102 0.876 0.602  0.10
O 0.992 0.415 0.144  0.12
Fe 0.849 0.251 0.208  3.98
Fe 0.151 0.749 0.792  3.98
Cs 0.500 0.000 0.500  0.00
Ho 0.179 0.640 0.185  0.06
Ho 0.821 0.360 0.815  0.06

---

Below is a relaxed structure of CsHoFeO4, with properties calculated at the PBE with a Hubbard U level.

Properties
raw total energy = -90.3 eV per cell
symmetry = P2_1/m

Cell: 5.888 6.075 7.966 Å, 90.00 109.70 90.00°
Each line ends with the local moment (μB).
Atoms (fractional coordinates):
Cs 0.301 0.250 0.065  -0.01
Cs 0.699 0.750 0.935  -0.01
Ho 0.821 0.750 0.466  0.06
Ho 0.179 0.250 0.534  0.06
O 0.040 0.524 0.338  0.11
O 0.468 0.750 0.224  -0.01
O 0.532 0.250 0.776  -0.01
O 0.040 0.976 0.338  0.11
O 0.492 0.750 0.559  -0.03
O 0.960 0.024 0.662  0.11
O 0.960 0.476 0.662  0.11
O 0.508 0.250 0.441  -0.03
Fe 0.265 0.750 0.349  3.70
Fe 0.735 0.250 0.651  3.70